Sr2ScHg: single point on PBEsol structure, meta-GGA SCAN.

abc: 5.495 5.495 4.143
angles: 90.00 90.00 90.10
Sites, in units of the cell vectors:
1 Sr 0.000 0.500 0.000
2 Sr 0.500 0.000 0.000
3 Sc 0.000 0.000 0.500
4 Hg 0.500 0.500 0.500

Values from the calculation:
Symmetry = Cmmm, No. 65
Density of states at the Fermi level = 0.640 states/eV per atom
E_tot = -31.7796 eV per atom